# PBE-GGA Be2InW, relaxed
data_Be2InW
_chemical_formula_sum 'Be6 In3 W3'
_cell_length_a 2.8773
_cell_length_b 2.8773
_cell_length_c 25.1663
_cell_angle_alpha 90.00
_cell_angle_beta 90.00
_cell_angle_gamma 120.00
_space_group_name_H-M_alt 'R -3 m'
_space_group_IT_number 166
_space_group_name_Hall '-R 3 2"'
loop_
_atom_site_label
_atom_site_type_symbol
_atom_site_fract_x
_atom_site_fract_y
_atom_site_fract_z
Be1 Be 0.0000 0.0000 0.2446
In1 In 0.0000 0.0000 0.0000
W1 W 0.0000 0.0000 0.5000
# Calculated formation energy ... 570 meV/atom
# Calculated density ... 8743 kg/m³
# DOS(E_F) ... 4.59 states/eV per cell